First-principles (GGA-PBE) data for a geometry-optimized AlTePt2 structure, as listed in Alexandria via LeMat-Bulk.

Geometry as extended XYZ:
```
4
Lattice="3.8043 0.0000 0.0000 0.0000 6.5628 0.0006 0.0000 4.4096 3.1369" Properties=species:S:1:pos:R:3 pbc="T T T"
Pt 0.0000 0.0000 0.0000
Pt 1.9022 3.2814 0.0003
Te 1.9022 5.4862 1.5687
Al 0.0000 2.2048 1.5684
```

Results
crystal system: monoclinic
SG: No. 10
Fermi-level density of states: 0.627 states/eV per atom
energy above the most stable polymorph in this dataset: 12.8 kJ per mole of atoms
formation energy (no corrections): -1.26 eV per formula unit